A plane-wave DFT calculation with PBE was carried out for a relaxed structure of NaSb4Pd5.

Calculated values
**Crystal system**: orthorhombic
**Magnetic moment**: 0.00 μB/f.u.
**Energy**: -94.7 eV per cell

Lattice parameters (Å, degrees): 5.7808 9.4504 7.7200 90.00 90.00 90.00
Atoms (fractional coordinates):
Pd (0.7600, 0.7497, 0.2000)
Pd (0.7906, 0.5000, 0.0000)
Pd (0.2400, 0.2497, 0.3000)
Pd (0.7600, 0.2503, 0.8000)
Pd (0.7600, 0.2503, 0.2000)
Pd (0.2400, 0.7503, 0.7000)
Pd (0.2094, 0.0000, 0.5000)
Pd (0.2400, 0.2497, 0.7000)
Pd (0.2400, 0.7503, 0.3000)
Pd (0.7600, 0.7497, 0.8000)
Sb (0.0041, 0.5000, 0.6941)
Sb (0.9959, 0.0000, 0.8059)
Sb (0.3937, 0.3416, 0.0000)
Sb (0.6063, 0.1584, 0.5000)
Sb (0.0041, 0.5000, 0.3059)
Sb (0.6063, 0.8416, 0.5000)
Sb (0.3937, 0.6584, 0.0000)
Sb (0.9959, 0.0000, 0.1941)
Na (0.4952, 0.0000, 0.0000)
Na (0.5048, 0.5000, 0.5000)